[1]
Ac2SmCd4: optimized geometry, GGA-PBE.

Results
M_tot	0.0	Bohr magnetons per cell
raw total energy	-0.1865	Ry per atom
DFT formation energy	-0.166	eV per atom

The structure in CIF format:
```
data_Ac2SmCd4
_chemical_formula_sum 'Ac2 Sm1 Cd4'
_cell_length_a 5.6326
_cell_length_b 5.6326
_cell_length_c 8.3109
_cell_angle_alpha 109.81
_cell_angle_beta 109.81
_cell_angle_gamma 90.00
_space_group_name_H-M_alt 'P 1'
_space_group_IT_number 1
_space_group_name_Hall 'P 1'
loop_
_atom_site_label
_atom_site_type_symbol
_atom_site_fract_x
_atom_site_fract_y
_atom_site_fract_z
Ac1 Ac 0.7331 0.7331 0.4662
Ac2 Ac 0.2669 0.2669 0.5338
Sm1 Sm 0.0000 0.0000 0.0000
Cd1 Cd 0.3957 0.8957 0.7913
Cd2 Cd 0.8957 0.3957 0.7913
Cd3 Cd 0.6043 0.1043 0.2087
Cd4 Cd 0.1043 0.6043 0.2087
```

---

[2]
TaFe2As: optimized geometry, GGA-PBE.

Results
M_tot	3.6	Bohr magnetons per cell
raw total energy	-0.6161	Ry per atom
DFT formation energy	-0.025	eV per atom

The structure in CIF format:
```
data_TaFe2As
_chemical_formula_sum 'Ta1 Fe2 As1'
_cell_length_a 3.7732
_cell_length_b 2.9814
_cell_length_c 5.2657
_cell_angle_alpha 73.51
_cell_angle_beta 90.00
_cell_angle_gamma 90.00
_space_group_name_H-M_alt 'P 1'
_space_group_IT_number 1
_space_group_name_Hall 'P 1'
loop_
_atom_site_label
_atom_site_type_symbol
_atom_site_fract_x
_atom_site_fract_y
_atom_site_fract_z
As1 As 0.5000 0.9376 0.7494
Fe1 Fe 0.0000 0.8017 0.0208
Fe2 Fe 0.5000 0.2026 0.2206
Ta1 Ta 0.0000 0.5581 0.5092
```

---

[3]
Ta3Mn8Al: optimized geometry, GGA-PBE.

Results
M_tot	1.6	Bohr magnetons per cell
raw total energy	-0.7074	Ry per atom
DFT formation energy	-0.237	eV per atom

The structure in CIF format:
```
data_Ta3Mn8Al
_chemical_formula_sum 'Ta3 Mn8 Al1'
_cell_length_a 4.7631
_cell_length_b 4.7631
_cell_length_c 7.8699
_cell_angle_alpha 90.00
_cell_angle_beta 90.00
_cell_angle_gamma 120.00
_space_group_name_H-M_alt 'P 1'
_space_group_IT_number 1
_space_group_name_Hall 'P 1'
loop_
_atom_site_label
_atom_site_type_symbol
_atom_site_fract_x
_atom_site_fract_y
_atom_site_fract_z
Ta1 Ta 0.0000 0.0000 0.5583
Ta2 Ta 0.0000 0.0000 0.9347
Ta3 Ta 0.6667 0.3333 0.0764
Mn1 Mn 0.3333 0.6667 0.4984
Mn2 Mn 0.3333 0.6667 0.9923
Mn3 Mn 0.1618 0.8382 0.2515
Mn4 Mn 0.1618 0.3236 0.2515
Mn5 Mn 0.6764 0.8382 0.2515
Mn6 Mn 0.5071 0.4929 0.7488
Mn7 Mn 0.5071 0.0142 0.7488
Mn8 Mn 0.9858 0.4929 0.7488
Al1 Al 0.6667 0.3333 0.4388
```

---

[4]
KScIn2: optimized geometry, GGA-PBE.

Results
M_tot	0.0	Bohr magnetons per cell
raw total energy	-0.2360	Ry per atom
DFT formation energy	0.016	eV per atom
ΔE to the lowest computed polymorph	0.85	eV/f.u.

The structure in CIF format:
```
data_KScIn2
_chemical_formula_sum 'K1 Sc1 In2'
_cell_length_a 5.3998
_cell_length_b 5.3998
_cell_length_c 5.3998
_cell_angle_alpha 60.00
_cell_angle_beta 60.00
_cell_angle_gamma 60.00
_space_group_name_H-M_alt 'P 1'
_space_group_IT_number 1
_space_group_name_Hall 'P 1'
loop_
_atom_site_label
_atom_site_type_symbol
_atom_site_fract_x
_atom_site_fract_y
_atom_site_fract_z
Sc1 Sc 0.5000 0.5000 0.5000
K1 K 0.0000 0.0000 0.0000
In1 In 0.2500 0.2500 0.2500
In2 In 0.7500 0.7500 0.7500
```

---

Please write out number 4 again, unchanged.
KScIn2: optimized geometry, GGA-PBE.

Results
M_tot	0.0	Bohr magnetons per cell
raw total energy	-0.2360	Ry per atom
DFT formation energy	0.016	eV per atom
ΔE to the lowest computed polymorph	0.85	eV/f.u.

The structure in CIF format:
```
data_KScIn2
_chemical_formula_sum 'K1 Sc1 In2'
_cell_length_a 5.3998
_cell_length_b 5.3998
_cell_length_c 5.3998
_cell_angle_alpha 60.00
_cell_angle_beta 60.00
_cell_angle_gamma 60.00
_space_group_name_H-M_alt 'P 1'
_space_group_IT_number 1
_space_group_name_Hall 'P 1'
loop_
_atom_site_label
_atom_site_type_symbol
_atom_site_fract_x
_atom_site_fract_y
_atom_site_fract_z
Sc1 Sc 0.5000 0.5000 0.5000
K1 K 0.0000 0.0000 0.0000
In1 In 0.2500 0.2500 0.2500
In2 In 0.7500 0.7500 0.7500
```